Record 1
Density functional theory data (PBE) for a geometry-optimized Sb2TeW structure. Values from VASP.

```
&SYSTEM
  ibrav = 0, nat = 4, ntyp = 3
/
ATOMIC_SPECIES
Sb 121.76 Sb.upf
Te 127.60 Te.upf
W 183.84 W.upf
CELL_PARAMETERS angstrom
4.928 -1.727 0.000
4.928 1.727 0.000
-1.967 0.000 6.125
ATOMIC_POSITIONS crystal
Sb 0.000 0.000 0.000
Sb 0.154 0.154 0.640
Te 0.348 0.348 0.346
W 0.718 0.718 0.005
```

Values from the calculation:
* E_form (uncorrected): 0.2513 eV per atom
* symmetry: Cm, No. 8
* total magnetization: 0.000 μB/atom
* N(E_F): 1.2 states/eV/cell



Record 2
Density functional theory data (PBE) for a geometry-optimized Tl2InSn2 structure. Values from VASP.

```
&SYSTEM
  ibrav = 0, nat = 10, ntyp = 3
/
ATOMIC_SPECIES
Tl 204.38 Tl.upf
In 114.82 In.upf
Sn 118.71 Sn.upf
CELL_PARAMETERS angstrom
9.518 0.000 0.000
0.000 9.518 0.000
0.000 0.000 3.373
ATOMIC_POSITIONS crystal
Tl 0.143 0.357 0.000
Tl 0.357 0.857 0.000
Tl 0.643 0.143 0.000
Tl 0.857 0.643 0.000
In 0.000 0.000 0.000
In 0.500 0.500 0.000
Sn 0.154 0.654 0.500
Sn 0.346 0.154 0.500
Sn 0.654 0.846 0.500
Sn 0.846 0.346 0.500
```

Values from the calculation:
* DFT formation energy: 0.67 eV/f.u.
* symmetry: P4/mbm, No. 127
* total magnetization: 0.000 μB/atom
* N(E_F): 5.7 states/eV/cell